A plane-wave DFT calculation with PBE was carried out for a relaxed structure of Y2Al2SnPd5.

Unit cell a=10.043 b=10.043 c=3.691 alpha=90.00 beta=90.00 gamma=90.00
Fractional positions:
Y 0.181 0.319 0.000
Y 0.319 0.819 0.000
Y 0.681 0.181 0.000
Y 0.819 0.681 0.000
Al 0.116 0.616 0.000
Al 0.384 0.116 0.000
Al 0.616 0.884 0.000
Al 0.884 0.384 0.000
Sn 0.000 0.000 0.000
Sn 0.500 0.500 0.000
Pd 0.000 0.500 0.500
Pd 0.062 0.786 0.500
Pd 0.214 0.062 0.500
Pd 0.286 0.562 0.500
Pd 0.438 0.286 0.500
Pd 0.500 0.000 0.500
Pd 0.562 0.714 0.500
Pd 0.714 0.438 0.500
Pd 0.786 0.938 0.500
Pd 0.938 0.214 0.500

Results
The value obtained for the magnetization is 0.00 μB per formula unit. Its space-group type is P4/mbm (127). As for the calculated formation energy: -0.7857 eV/atom. The density of states at the Fermi level is 0.6211 states/eV per atom.